Nb6VMo5: optimized geometry, PBE-GGA.

Structure (POSCAR):
```
Nb6VMo5
1.0
7.188 -3.225 0.000
7.188 3.225 0.000
-1.449 0.000 4.344
Nb V Mo
6 1 5
Direct
0.083 0.584 0.333
0.250 0.750 0.000
0.416 0.917 0.667
0.584 0.083 0.333
0.750 0.250 0.000
0.917 0.416 0.667
0.000 0.000 0.500
0.165 0.165 0.165
0.333 0.333 0.833
0.500 0.500 0.500
0.667 0.667 0.167
0.835 0.835 0.835
```

As for the energy of formation: -1.33 eV/f.u. Its density of states at the Fermi level is 0.934 states/eV/atom.